[1]
YCrS3 | GGA-PBEsol | optimized geometry Values from VASP.

Summary:
- ρ (g cm⁻³) = 4.232
- symmetry = Pm-3m, No. 221
- raw total energy (eV per atom) = -6.98

```
&SYSTEM
  ibrav = 0, nat = 5, ntyp = 3
/
ATOMIC_SPECIES
S 32.06 S.upf
Cr 52.00 Cr.upf
Y 88.91 Y.upf
CELL_PARAMETERS angstrom
-2.530 -0.242 3.751
2.806 -3.130 1.691
2.501 3.267 1.898
ATOMIC_POSITIONS crystal
S 0.500 0.000 0.000
S 0.000 0.000 0.500
S 0.000 0.500 0.000
Cr 0.000 0.000 0.000
Y 0.500 0.500 0.500
```

=====

[2]
ZnCr3S | GGA-PBEsol | optimized geometry Values from VASP.

Summary:
- ρ (g cm⁻³) = 6.167
- symmetry = Pm-3m, No. 221
- raw total energy (eV per atom) = -6.94

```
&SYSTEM
  ibrav = 0, nat = 5, ntyp = 3
/
ATOMIC_SPECIES
Cr 52.00 Cr.upf
S 32.06 S.upf
Zn 65.41 Zn.upf
CELL_PARAMETERS angstrom
4.087 0.000 0.000
0.000 4.087 0.000
0.000 0.000 4.087
ATOMIC_POSITIONS crystal
Cr 0.000 0.500 0.000
Cr 0.500 0.000 0.000
Cr 0.000 0.000 0.500
S 0.000 0.000 0.000
Zn 0.500 0.500 0.500
```

=====

[3]
ZnCrS2 | GGA-PBEsol | optimized geometry Values from VASP.

Summary:
- ρ (g cm⁻³) = 4.947
- symmetry = R-3m, No. 166
- raw total energy (eV per atom) = -5.52

```
&SYSTEM
  ibrav = 0, nat = 4, ntyp = 3
/
ATOMIC_SPECIES
S 32.06 S.upf
Zn 65.41 Zn.upf
Cr 52.00 Cr.upf
CELL_PARAMETERS angstrom
-2.011 -1.387 -1.678
-0.771 -2.794 0.616
-6.768 1.274 4.439
ATOMIC_POSITIONS crystal
S 0.895 0.895 0.315
S 0.105 0.105 0.685
Zn 0.000 0.000 0.000
Cr 0.500 0.500 0.500
```

=====

[4]
ZrCr3S | GGA-PBEsol | optimized geometry Values from VASP.

Summary:
- ρ (g cm⁻³) = 4.456
- symmetry = Pm-3m, No. 221
- raw total energy (eV per atom) = -6.85

```
&SYSTEM
  ibrav = 0, nat = 5, ntyp = 3
/
ATOMIC_SPECIES
Cr 52.00 Cr.upf
Zr 91.22 Zr.upf
S 32.06 S.upf
CELL_PARAMETERS angstrom
4.704 0.000 0.000
0.000 4.704 0.000
0.000 0.000 4.704
ATOMIC_POSITIONS crystal
Cr 0.000 0.000 0.500
Cr 0.500 0.000 0.000
Cr 0.000 0.500 0.000
Zr 0.000 0.000 0.000
S 0.500 0.500 0.500
```

=====

[5]
Cr3Sb | GGA-PBEsol | optimized geometry Values from VASP.

Summary:
- ρ (g cm⁻³) = 8.776
- symmetry = Immm, No. 71
- raw total energy (eV per atom) = -8.53

```
&SYSTEM
  ibrav = 0, nat = 4, ntyp = 2
/
ATOMIC_SPECIES
Cr 52.00 Cr.upf
Sb 121.76 Sb.upf
CELL_PARAMETERS angstrom
3.110 0.000 0.000
0.000 4.099 0.000
-1.555 -2.049 4.123
ATOMIC_POSITIONS crystal
Cr 0.239 0.239 0.479
Cr 0.500 0.000 0.000
Cr 0.761 0.761 0.521
Sb 0.000 0.500 0.000
```

=====

[6]
Cr5Sb | GGA-PBEsol | optimized geometry Values from VASP.

Summary:
- ρ (g cm⁻³) = 8.305
- symmetry = F-43m, No. 216
- raw total energy (eV per atom) = -9.00

```
&SYSTEM
  ibrav = 0, nat = 6, ntyp = 2
/
ATOMIC_SPECIES
Cr 52.00 Cr.upf
Sb 121.76 Sb.upf
CELL_PARAMETERS angstrom
4.761 0.000 0.000
2.381 4.124 0.000
2.381 1.375 3.888
ATOMIC_POSITIONS crystal
Cr 0.626 0.626 0.123
Cr 0.626 0.123 0.626
Cr 0.123 0.626 0.626
Cr 0.626 0.626 0.626
Cr 0.250 0.250 0.250
Sb 0.000 0.000 0.000
```

=====

[7]
CrSb2 | GGA-PBEsol | optimized geometry Values from VASP.

Summary:
- ρ (g cm⁻³) = 7.551
- symmetry = Immm, No. 71
- raw total energy (eV per atom) = -6.21

```
&SYSTEM
  ibrav = 0, nat = 3, ntyp = 2
/
ATOMIC_SPECIES
Sb 121.76 Sb.upf
Cr 52.00 Cr.upf
CELL_PARAMETERS angstrom
-2.190 -0.972 -1.954
0.049 -3.147 1.511
-3.178 3.851 4.092
ATOMIC_POSITIONS crystal
Sb 0.366 0.366 0.733
Sb 0.634 0.634 0.267
Cr 0.000 0.000 0.000
```

=====

[8]
CrSb2 | GGA-PBEsol | optimized geometry Values from VASP.

Summary:
- ρ (g cm⁻³) = 7.666
- symmetry = Pnnm, No. 58
- raw total energy (eV per atom) = -6.34

```
&SYSTEM
  ibrav = 0, nat = 6, ntyp = 2
/
ATOMIC_SPECIES
Cr 52.00 Cr.upf
Sb 121.76 Sb.upf
CELL_PARAMETERS angstrom
-2.042 0.053 -2.378
2.554 -4.965 -2.304
-4.260 -3.849 3.572
ATOMIC_POSITIONS crystal
Cr 0.000 0.000 0.000
Cr 0.500 0.500 0.500
Sb 0.000 0.183 0.642
Sb 0.000 0.817 0.358
Sb 0.500 0.683 0.858
Sb 0.500 0.317 0.142
```

=====

[9]
Sc2CrSb | GGA-PBEsol | optimized geometry Values from VASP.

Summary:
- ρ (g cm⁻³) = 5.336
- symmetry = Amm2, No. 38
- raw total energy (eV per atom) = -7.27

```
&SYSTEM
  ibrav = 0, nat = 4, ntyp = 3
/
ATOMIC_SPECIES
Cr 52.00 Cr.upf
Sb 121.76 Sb.upf
Sc 44.96 Sc.upf
CELL_PARAMETERS angstrom
3.590 0.000 -0.022
0.000 4.287 0.000
-1.759 0.000 5.342
ATOMIC_POSITIONS crystal
Cr 0.295 0.000 0.464
Sb 0.450 0.500 0.775
Sc 0.028 0.000 0.931
Sc 0.728 0.500 0.331
```

=====

[10]
ScCrSb2 | GGA-PBEsol | optimized geometry Values from VASP.

Summary:
- ρ (g cm⁻³) = 7.490
- symmetry = P4/mmm, No. 123
- excess energy over the best structure of this formula in the dataset (eV per atom) = 0.042

```
&SYSTEM
  ibrav = 0, nat = 4, ntyp = 3
/
ATOMIC_SPECIES
Sc 44.96 Sc.upf
Sb 121.76 Sb.upf
Cr 52.00 Cr.upf
CELL_PARAMETERS angstrom
-1.452 1.275 -2.588
-0.578 -2.967 -1.137
-6.335 -0.107 3.500
ATOMIC_POSITIONS crystal
Sc 0.500 0.500 0.000
Sb 0.000 0.000 0.284
Sb 0.000 0.000 0.716
Cr 0.500 0.500 0.500
```

=====

[11]
ScCrSb2 | GGA-PBEsol | optimized geometry Values from VASP.

Summary:
- ρ (g cm⁻³) = 4.811
- symmetry = I-42d, No. 122
- excess energy over the best structure of this formula in the dataset (eV per atom) = 0.402

```
&SYSTEM
  ibrav = 0, nat = 8, ntyp = 3
/
ATOMIC_SPECIES
Cr 52.00 Cr.upf
Sb 121.76 Sb.upf
Sc 44.96 Sc.upf
CELL_PARAMETERS angstrom
5.632 0.000 0.000
0.000 5.632 0.000
-2.816 -2.816 7.408
ATOMIC_POSITIONS crystal
Cr 0.250 0.750 0.500
Cr 0.000 0.000 0.000
Sb 0.625 0.665 0.750
Sb 0.915 0.375 0.250
Sb 0.335 0.875 0.250
Sb 0.125 0.085 0.750
Sc 0.500 0.500 0.000
Sc 0.750 0.250 0.500
```

=====

[12]
ScCrSb2 | GGA-PBEsol | optimized geometry Values from VASP.

Summary:
- ρ (g cm⁻³) = 6.771
- symmetry = P4/mmm, No. 123
- excess energy over the best structure of this formula in the dataset (eV per atom) = 0.000

```
&SYSTEM
  ibrav = 0, nat = 4, ntyp = 3
/
ATOMIC_SPECIES
Sc 44.96 Sc.upf
Sb 121.76 Sb.upf
Cr 52.00 Cr.upf
CELL_PARAMETERS angstrom
3.771 0.000 0.000
0.000 4.706 0.000
0.000 0.000 4.706
ATOMIC_POSITIONS crystal
Sc 0.500 0.500 0.500
Sb 0.000 0.500 0.000
Sb 0.000 0.000 0.500
Cr 0.500 0.000 0.000
```

=====

[13]
ScCrSb2 | GGA-PBEsol | optimized geometry Values from VASP.

Summary:
- ρ (g cm⁻³) = 6.546
- symmetry = F-43m, No. 216
- excess energy over the best structure of this formula in the dataset (eV per atom) = 0.355

```
&SYSTEM
  ibrav = 0, nat = 4, ntyp = 3
/
ATOMIC_SPECIES
Sb 121.76 Sb.upf
Sc 44.96 Sc.upf
Cr 52.00 Cr.upf
CELL_PARAMETERS angstrom
4.962 0.000 0.000
2.481 4.297 0.000
2.481 1.432 4.051
ATOMIC_POSITIONS crystal
Sb 0.000 0.000 0.000
Sb 0.250 0.250 0.250
Sc 0.750 0.750 0.750
Cr 0.500 0.500 0.500
```